No. 1
## CoAg2Ru (PBE)

Data for an optimized crystal structure of CoAg2Ru.

Output
total DFT energy (no corrections): -4.8088 eV per atom
volume: 15.502 Å³ per atom
crystal system: tetragonal
SG: No. 123
E above lowest polymorph: 390.8 meV per atom
DOS at the Fermi energy: 1.164 states/eV per atom

Unit cell a=4.742 b=4.742 c=2.758 alpha=90.00 beta=90.00 gamma=90.00
Fractional coordinates of all 4 atoms:
Ru 0.000 0.500 0.500
Ag 0.000 0.000 0.000
Ag 0.500 0.500 0.000
Co 0.500 0.000 0.500

=====

No. 2
## DyTm4Al (PBE)

Data for an optimized crystal structure of DyTm4Al.

Output
total DFT energy (no corrections): -4.4961 eV per atom
volume: 27.962 Å³ per atom
crystal system: tetragonal
SG: No. 123
E above lowest polymorph: 0.0 meV per atom
DOS at the Fermi energy: 1.016 states/eV per atom

Unit cell a=3.486 b=3.486 c=13.806 alpha=90.00 beta=90.00 gamma=90.00
Fractional coordinates of all 6 atoms:
Tm 0.500 0.500 0.180
Tm 0.000 0.000 0.363
Tm 0.000 0.000 0.637
Tm 0.500 0.500 0.820
Dy 0.000 0.000 0.000
Al 0.500 0.500 0.500

=====

No. 3
## SrPt2Br (PBE)

Data for an optimized crystal structure of SrPt2Br.

Output
total DFT energy (no corrections): -4.5533 eV per atom
volume: 27.158 Å³ per atom
crystal system: monoclinic
SG: No. 6
E above lowest polymorph: 0.0 meV per atom
DOS at the Fermi energy: 0.787 states/eV per atom

Unit cell a=3.751 b=3.691 c=7.851 alpha=92.13 beta=90.00 gamma=90.00
Fractional coordinates of all 4 atoms:
Sr 0.000 0.383 0.486
Pt 0.000 0.857 0.144
Pt 0.500 0.361 0.182
Br 0.500 0.899 0.688

=====

No. 4
## DyHoAlIn (PBE)

Data for an optimized crystal structure of DyHoAlIn.

Output
total DFT energy (no corrections): -4.3359 eV per atom
volume: 24.829 Å³ per atom
crystal system: tetragonal
SG: No. 99
E above lowest polymorph: 0.0 meV per atom
DOS at the Fermi energy: 0.468 states/eV per atom

Unit cell a=3.597 b=3.597 c=7.678 alpha=90.00 beta=90.00 gamma=90.00
Fractional coordinates of all 4 atoms:
Ho 0.500 0.500 0.119
Dy 0.500 0.500 0.595
In 0.000 0.000 0.858
Al 0.000 0.000 0.356

=====

No. 5
## HgTe2Au (PBE)

Data for an optimized crystal structure of HgTe2Au.

Output
total DFT energy (no corrections): -2.4085 eV per atom
volume: 27.975 Å³ per atom
crystal system: monoclinic
SG: No. 6
DOS at the Fermi energy: 0.529 states/eV per atom

Unit cell a=4.333 b=3.147 c=8.845 alpha=111.91 beta=90.00 gamma=90.00
Fractional coordinates of all 4 atoms:
Hg 0.500 0.723 0.728
Te 0.500 0.296 0.289
Te 0.000 0.975 0.982
Au 0.000 0.507 0.501

=====

No. 6
## Y2CoRh (PBE)

Data for an optimized crystal structure of Y2CoRh.

Output
total DFT energy (no corrections): -6.9164 eV per atom
volume: 20.629 Å³ per atom
crystal system: tetragonal
SG: No. 122
DOS at the Fermi energy: 0.475 states/eV per atom

Unit cell a=7.240 b=7.240 c=6.010 alpha=52.96 beta=52.96 gamma=90.00
Fractional coordinates of all 8 atoms:
Co 0.250 0.750 0.500
Co 0.500 0.500 0.000
Y 0.875 0.862 0.750
Y 0.138 0.625 0.250
Y 0.375 0.388 0.750
Y 0.612 0.125 0.250
Rh 0.750 0.250 0.500
Rh 0.000 0.000 0.000

=====

No. 7
## ZrP2Au (PBE)

Data for an optimized crystal structure of ZrP2Au.

Output
total DFT energy (no corrections): -6.1062 eV per atom
volume: 16.706 Å³ per atom
crystal system: tetragonal
SG: No. 123
E above lowest polymorph: 92.7 meV per atom
DOS at the Fermi energy: 0.481 states/eV per atom

Unit cell a=4.415 b=4.418 c=3.426 alpha=90.00 beta=90.00 gamma=90.00
Fractional coordinates of all 4 atoms:
Zr 0.500 0.000 0.500
P 0.000 0.000 0.000
P 0.500 0.500 0.000
Au 0.000 0.500 0.500

=====

No. 8
## Dy3YPu3Te8 (PBE)

Data for an optimized crystal structure of Dy3YPu3Te8.

Output
total DFT energy (no corrections): -7.1694 eV per atom
volume: 31.762 Å³ per atom
crystal system: trigonal
SG: No. 166
DOS at the Fermi energy: 2.535 states/eV per atom

Unit cell a=8.753 b=8.753 c=8.781 alpha=119.90 beta=90.00 gamma=120.00
Fractional coordinates of all 15 atoms:
Te 0.257 0.004 0.252
Te 0.749 0.497 0.746
Te 0.251 0.503 0.254
Te 0.747 0.494 0.252
Te 0.747 0.004 0.252
Te 0.253 0.506 0.748
Te 0.253 0.996 0.748
Te 0.743 0.996 0.748
Dy 0.500 0.500 0.500
Dy 0.000 0.500 0.500
Dy 0.500 0.000 0.500
Pu 0.000 0.000 0.000
Pu 0.000 0.500 0.000
Pu 0.500 0.500 0.000
Y 0.000 0.000 0.500

=====

No. 9
## NaAlPb3 (PBE)

Data for an optimized crystal structure of NaAlPb3.

Output
total DFT energy (no corrections): -2.5747 eV per atom
volume: 33.613 Å³ per atom
crystal system: cubic
SG: No. 221
E above lowest polymorph: 431.6 meV per atom
DOS at the Fermi energy: 0.682 states/eV per atom

Unit cell a=5.519 b=5.519 c=5.519 alpha=90.00 beta=90.00 gamma=90.00
Fractional coordinates of all 5 atoms:
Pb 0.500 0.000 0.000
Pb 0.000 0.500 0.000
Pb 0.000 0.000 0.500
Na 0.000 0.000 0.000
Al 0.500 0.500 0.500

=====

No. 10
## Li2PmErCl8 (PBE)

Data for an optimized crystal structure of Li2PmErCl8.

Output
total DFT energy (no corrections): -4.4136 eV per atom
volume: 27.000 Å³ per atom
crystal system: monoclinic
SG: No. 10
DOS at the Fermi energy: 0.000 states/eV per atom

Unit cell a=6.384 b=6.358 c=8.014 alpha=90.00 beta=90.00 gamma=95.09
Fractional coordinates of all 12 atoms:
Li 0.500 0.500 0.756
Li 0.500 0.500 0.244
Cl 0.190 0.805 0.241
Cl 0.685 0.691 0.500
Cl 0.810 0.195 0.241
Cl 0.695 0.699 0.000
Cl 0.190 0.805 0.759
Cl 0.305 0.301 0.000
Cl 0.315 0.309 0.500
Cl 0.810 0.195 0.759
Er 0.000 0.000 0.000
Pm 0.000 0.000 0.500

=====

No. 11
## Ti2AlCuNi (PBE)

Data for an optimized crystal structure of Ti2AlCuNi.

Output
total DFT energy (no corrections): -4.8959 eV per atom
volume: 18.706 Å³ per atom
crystal system: tetragonal
SG: No. 123
DOS at the Fermi energy: 1.548 states/eV per atom

Unit cell a=4.701 b=4.232 c=4.701 alpha=90.00 beta=90.00 gamma=90.00
Fractional coordinates of all 5 atoms:
Ni 0.500 0.500 0.500
Ti 0.500 0.000 0.000
Ti 0.000 0.000 0.500
Al 0.000 0.000 0.000
Cu 0.000 0.500 0.000

=====

No. 12
## AcTbAgAu (PBE)

Data for an optimized crystal structure of AcTbAgAu.

Output
total DFT energy (no corrections): -4.2310 eV per atom
volume: 28.067 Å³ per atom
crystal system: orthorhombic
SG: No. 38
E above lowest polymorph: 0.0 meV per atom
DOS at the Fermi energy: 0.657 states/eV per atom

Unit cell a=4.014 b=4.865 c=6.090 alpha=90.00 beta=109.24 gamma=90.00
Fractional coordinates of all 4 atoms:
Au 0.584 0.500 0.169
Tb 0.135 0.000 0.271
Ac 0.858 0.500 0.716
Ag 0.422 0.000 0.844

=====

Please write out number 1 again, unchanged.
## CoAg2Ru (PBE)

Data for an optimized crystal structure of CoAg2Ru.

Output
total DFT energy (no corrections): -4.8088 eV per atom
volume: 15.502 Å³ per atom
crystal system: tetragonal
SG: No. 123
E above lowest polymorph: 390.8 meV per atom
DOS at the Fermi energy: 1.164 states/eV per atom

Unit cell a=4.742 b=4.742 c=2.758 alpha=90.00 beta=90.00 gamma=90.00
Fractional coordinates of all 4 atoms:
Ru 0.000 0.500 0.500
Ag 0.000 0.000 0.000
Ag 0.500 0.500 0.000
Co 0.500 0.000 0.500

=====

- total DFT energy (no corrections) of number 6 (Y2CoRh)?
  -6.9164 eV per atom